Record 1
The following is a DFT calculation (PBE with a Hubbard U) of crystalline Li4MnCo2O7 at its relaxed geometry.

## Properties
Energy in eV/atom: -5.83
Total magnetic moment in μB per formula unit: 10.00
Polymorph energy (0 for the lowest one) in meV per atom: 53

Cell: 5.096 7.657 7.742 Å, 60.64 78.27 71.73°
Space group P1 (No. 1)
Symmetry-distinct sites (fractional):
Li  0.000  0.000  0.000 x1
Li  0.000  0.128  0.296 x1
Li  0.008  0.863  0.704 x1
Li  0.009  0.564  0.141 x1
Li  0.014  0.281  0.568 x1
Li  0.507  0.998  0.500 x1
Li  0.994  0.712  0.437 x1
Li  0.998  0.422  0.858 x1
Mn  0.502  0.854  0.219 x1
Mn  0.509  0.709  0.926 x1
Co  0.493  0.572  0.642 x1
Co  0.502  0.275  0.085 x1
Co  0.504  0.142  0.778 x1
Co  0.513  0.422  0.359 x1
O  0.262  0.425  0.615 x1
O  0.270  0.846  0.448 x1
O  0.273  0.119  0.052 x1
O  0.275  0.576  0.893 x1
O  0.281  0.983  0.768 x1
O  0.287  0.293  0.312 x1
O  0.296  0.700  0.174 x1
O  0.721  0.278  0.833 x1
O  0.725  0.702  0.695 x1
O  0.726  0.577  0.388 x1
O  0.728  0.847  0.975 x1
O  0.736  0.986  0.245 x1
O  0.739  0.161  0.531 x1
O  0.741  0.439  0.093 x1

Record 2
The following is a DFT calculation (PBE with a Hubbard U) of crystalline Li4MnCo2O7 at its relaxed geometry.

## Properties
Energy in eV/atom: -5.83
Total magnetic moment in μB per formula unit: 5.20
N(E_F) in states/eV/cell: 3.15
Polymorph energy (0 for the lowest one) in meV per atom: 56

Cell: 21.128 2.889 8.110 Å, 90.00 102.15 90.00°
Space group Cm (No. 8)
Symmetry-distinct sites (fractional):
Li  0.000  0.000  0.000 x2
Li  0.001  0.000  0.512 x2
Li  0.066  0.500  0.310 x2
Li  0.135  0.000  0.581 x2
Li  0.214  0.500  0.856 x2
Li  0.284  0.000  0.141 x2
Li  0.363  0.500  0.444 x2
Li  0.437  0.000  0.710 x2
Mn  0.215  0.500  0.364 x2
Mn  0.428  0.000  0.225 x2
Co  0.070  0.500  0.789 x2
Co  0.138  0.000  0.066 x2
Co  0.288  0.000  0.649 x2
Co  0.357  0.500  0.930 x2
O  0.009  0.000  0.762 x2
O  0.072  0.500  0.559 x2
O  0.073  0.500  0.042 x2
O  0.139  0.000  0.834 x2
O  0.150  0.000  0.329 x2
O  0.212  0.500  0.126 x2
O  0.224  0.500  0.607 x2
O  0.280  0.000  0.405 x2
O  0.293  0.000  0.888 x2
O  0.350  0.500  0.690 x2
O  0.362  0.500  0.172 x2
O  0.419  0.000  0.971 x2
O  0.425  0.000  0.449 x2
O  0.489  0.500  0.246 x2

Record 3
The following is a DFT calculation (PBE with a Hubbard U) of crystalline Li4MnCo2O7 at its relaxed geometry.

## Properties
Energy in eV/atom: -5.75
Total magnetic moment in μB per formula unit: 5.00
Polymorph energy (0 for the lowest one) in meV per atom: 130

Cell: 5.873 6.582 7.658 Å, 114.96 100.29 103.87°
Space group P1 (No. 1)
Symmetry-distinct sites (fractional):
Li  0.000  0.000  0.000 x1
Li  0.070  0.575  0.719 x1
Li  0.145  0.162  0.452 x1
Li  0.287  0.298  0.860 x1
Li  0.418  0.427  0.289 x1
Li  0.570  0.577  0.723 x1
Li  0.708  0.722  0.150 x1
Li  0.850  0.860  0.580 x1
Mn  0.488  0.000  0.999 x1
Mn  0.928  0.432  0.297 x1
Co  0.199  0.717  0.138 x1
Co  0.347  0.857  0.579 x1
Co  0.638  0.155  0.437 x1
Co  0.795  0.294  0.850 x1
O  0.039  0.768  0.372 x1
O  0.090  0.372  0.090 x1
O  0.208  0.941  0.797 x1
O  0.222  0.500  0.487 x1
O  0.327  0.066  0.200 x1
O  0.399  0.680  0.948 x1
O  0.476  0.220  0.641 x1
O  0.510  0.817  0.369 x1
O  0.623  0.344  0.076 x1
O  0.647  0.936  0.789 x1
O  0.749  0.480  0.488 x1
O  0.798  0.093  0.222 x1
O  0.902  0.651  0.951 x1
O  0.955  0.217  0.659 x1

Record 4
The following is a DFT calculation (PBE with a Hubbard U) of crystalline Li7Mn4CoO12 at its relaxed geometry.

## Properties
Energy in eV/atom: -6.08
Total magnetic moment in μB per formula unit: 5.97
Polymorph energy (0 for the lowest one) in meV per atom: 155

Cell: 5.865 2.875 12.656 Å, 90.00 102.78 90.00°
Space group P2/m (No. 10)
Symmetry-distinct sites (fractional):
Li  0.000  0.000  0.000 x1
Li  0.000  0.500  0.500 x1
Li  0.170  0.000  0.335 x2
Li  0.315  0.500  0.150 x2
Li  0.500  0.000  0.000 x1
Mn  0.167  0.500  0.839 x2
Mn  0.336  0.000  0.666 x2
Co  0.500  0.500  0.500 x1
O  0.057  0.000  0.169 x2
O  0.106  0.500  0.672 x2
O  0.245  0.500  0.986 x2
O  0.277  0.000  0.505 x2
O  0.394  0.000  0.828 x2
O  0.437  0.500  0.342 x2

Record 5
The following is a DFT calculation (PBE with a Hubbard U) of crystalline Li4MnCo2O7 at its relaxed geometry.

## Properties
Energy in eV/atom: -5.83
Total magnetic moment in μB per formula unit: 4.58
N(E_F) in states/eV/cell: 7.34
Polymorph energy (0 for the lowest one) in meV per atom: 50

Cell: 29.009 2.865 5.829 Å, 90.00 96.34 90.00°
Space group Cm (No. 8)
Symmetry-distinct sites (fractional):
Li  0.000  0.000  0.000 x2
Li  0.000  0.000  0.495 x2
Li  0.063  0.500  0.299 x2
Li  0.140  0.000  0.565 x2
Li  0.218  0.500  0.857 x2
Li  0.289  0.000  0.156 x2
Li  0.356  0.500  0.437 x2
Li  0.433  0.000  0.708 x2
Mn  0.140  0.000  0.066 x2
Mn  0.429  0.000  0.215 x2
Co  0.068  0.500  0.777 x2
Co  0.215  0.500  0.359 x2
Co  0.287  0.000  0.647 x2
Co  0.357  0.500  0.928 x2
O  0.004  0.500  0.751 x2
O  0.071  0.000  0.561 x2
O  0.073  0.000  0.011 x2
O  0.138  0.500  0.839 x2
O  0.139  0.500  0.290 x2
O  0.207  0.000  0.112 x2
O  0.219  0.000  0.600 x2
O  0.287  0.500  0.421 x2
O  0.290  0.500  0.877 x2
O  0.354  0.000  0.704 x2
O  0.360  0.000  0.155 x2
O  0.424  0.500  0.979 x2
O  0.426  0.500  0.435 x2
O  0.493  0.000  0.240 x2

Record 6
The following is a DFT calculation (PBE with a Hubbard U) of crystalline LiMnCo3O8 at its relaxed geometry.

## Properties
Energy in eV/atom: -6.02
Total magnetic moment in μB per formula unit: 1.00
N(E_F) in states/eV/cell: 11.75
Polymorph energy (0 for the lowest one) in meV per atom: 11

Cell: 5.6712 5.6712 14.9853 Å, 90.00 90.00 120.00°
Space group R-3m (No. 166, hexagonal axes)
Symmetry-distinct sites (fractional):
Li  0.0000  0.0000  0.0000 x3
Mn  0.0000  0.0000  0.5000 x3
Co  0.0000  0.5000  0.5000 x9
O  0.0000  0.0000  0.2276 x6
O  0.0060  0.5030  0.7674 x18

Record 7
The following is a DFT calculation (PBE with a Hubbard U) of crystalline Li7Mn4CoO12 at its relaxed geometry.

## Properties
Energy in eV/atom: -6.16
Total magnetic moment in μB per formula unit: 11.99
N(E_F) in states/eV/cell: 0.06
Polymorph energy (0 for the lowest one) in meV per atom: 73

Cell: 5.114 2.890 14.338 Å, 90.00 90.03 90.00°
Space group Pm (No. 6)
Symmetry-distinct sites (fractional):
Li  0.000  0.000  0.000 x1
Li  0.003  0.000  0.503 x1
Li  0.184  0.500  0.171 x1
Li  0.336  0.000  0.342 x1
Li  0.502  0.500  0.502 x1
Li  0.669  0.000  0.662 x1
Li  0.815  0.500  0.831 x1
Mn  0.155  0.500  0.664 x1
Mn  0.494  0.500  0.998 x1
Mn  0.688  0.000  0.168 x1
Mn  0.854  0.500  0.341 x1
Co  0.311  0.000  0.833 x1
O  0.021  0.000  0.747 x1
O  0.150  0.500  0.411 x1
O  0.156  0.500  0.906 x1
O  0.318  0.000  0.596 x1
O  0.368  0.000  0.081 x1
O  0.455  0.500  0.758 x1
O  0.546  0.500  0.247 x1
O  0.619  0.000  0.916 x1
O  0.690  0.000  0.409 x1
O  0.841  0.500  0.091 x1
O  0.857  0.500  0.595 x1
O  0.990  0.000  0.258 x1

Record 8
The following is a DFT calculation (PBE with a Hubbard U) of crystalline Li7Mn4CoO12 at its relaxed geometry.

## Properties
Energy in eV/atom: -6.14
Total magnetic moment in μB per formula unit: 10.00
Polymorph energy (0 for the lowest one) in meV per atom: 95

Cell: 5.084 5.795 7.606 Å, 100.80 96.11 106.65°
Space group P-1 (No. 2)
Symmetry-distinct sites (fractional):
Li  0.000  0.000  0.000 x1
Li  0.489  0.407  0.152 x2
Li  0.496  0.916  0.155 x2
Li  0.497  0.251  0.499 x2
Mn  0.001  0.671  0.674 x2
Mn  0.003  0.167  0.673 x2
Co  0.000  0.500  0.000 x1
O  0.219  0.456  0.575 x2
O  0.222  0.610  0.244 x2
O  0.222  0.943  0.582 x2
O  0.225  0.297  0.906 x2
O  0.227  0.771  0.907 x2
O  0.230  0.131  0.262 x2